Model w:
Crystalline CrNiRuRh at its relaxed geometry, computed with PBE.

Cell: 3.595 3.731 3.829 Å, 90.00 90.00 90.00°
Space group Pmmm (No. 47)
Symmetry-distinct sites (fractional):
1 Cr 0.000 0.000 0.000 x1
2 Ni 0.000 0.500 0.500 x1
3 Ru 0.500 0.500 0.000 x1
4 Rh 0.500 0.000 0.500 x1

Model x:
Crystalline CrNiRuRh at its relaxed geometry, computed with PBE.

Cell: 5.894 5.894 5.894 Å, 90.00 90.00 90.00°
Space group F-43m (No. 216)
Symmetry-distinct sites (fractional):
1 Cr 0.000 0.000 0.000 x4
2 Ni 0.000 0.000 0.500 x4
3 Ru 0.250 0.250 0.750 x4
4 Rh 0.250 0.250 0.250 x4

Computed energies relative to the best structure, in kJ/mol of atoms: model w 0.0; model x 11.8